(w)
This record from the Alexandria database describes a relaxed structure of EuHoSn2. The functional is PBE.

- density of states at the Fermi level (states/eV/f.u.) = 2.7
- spin magnetization (μB/atom) = 1.74

Geometry as CIF:
```
data_EuHoSn2
_cell_length_a 7.678
_cell_length_b 7.678
_cell_length_c 7.678
_cell_angle_alpha 90.00
_cell_angle_beta 90.00
_cell_angle_gamma 90.00
_space_group_name_H-M_alt 'F m -3 m'
_space_group_IT_number 225
_space_group_name_Hall '-F 4 2 3'
loop_
_atom_site_label
_atom_site_type_symbol
_atom_site_fract_x
_atom_site_fract_y
_atom_site_fract_z
Eu1 Eu 0.000 0.000 0.000
Ho1 Ho 0.000 0.000 0.500
Sn1 Sn 0.250 0.250 0.250
```

(x)
This record from the Alexandria database describes a relaxed structure of EuHoSn2. The functional is PBE.

- density of states at the Fermi level (states/eV/f.u.) = 2.5
- spin magnetization (μB/atom) = 1.82

Geometry as CIF:
```
data_EuHoSn2
_cell_length_a 4.979
_cell_length_b 4.979
_cell_length_c 4.462
_cell_angle_alpha 90.00
_cell_angle_beta 90.00
_cell_angle_gamma 90.00
_space_group_name_H-M_alt 'P 4/m m m'
_space_group_IT_number 123
_space_group_name_Hall '-P 4 2'
loop_
_atom_site_label
_atom_site_type_symbol
_atom_site_fract_x
_atom_site_fract_y
_atom_site_fract_z
Eu1 Eu 0.000 0.000 0.000
Ho1 Ho 0.500 0.500 0.000
Sn1 Sn 0.000 0.500 0.500
```

The structure with the greatest stability is (x).

(w)
This record from the Alexandria database describes a relaxed structure of SrEu2Ho. The functional is PBE.

- density of states at the Fermi level (states/eV/f.u.) = 3.6
- spin magnetization (μB/atom) = 3.60

Geometry as CIF:
```
data_SrEu2Ho
_cell_length_a 6.159
_cell_length_b 6.159
_cell_length_c 4.269
_cell_angle_alpha 90.00
_cell_angle_beta 90.00
_cell_angle_gamma 90.00
_space_group_name_H-M_alt 'P 4/m m m'
_space_group_IT_number 123
_space_group_name_Hall '-P 4 2'
loop_
_atom_site_label
_atom_site_type_symbol
_atom_site_fract_x
_atom_site_fract_y
_atom_site_fract_z
Sr1 Sr 0.000 0.000 0.000
Eu1 Eu 0.000 0.500 0.500
Ho1 Ho 0.500 0.500 0.000
```

(x)
This record from the Alexandria database describes a relaxed structure of SrEu2Ho. The functional is PBE.

- density of states at the Fermi level (states/eV/f.u.) = 3.9
- spin magnetization (μB/atom) = 3.83

Geometry as CIF:
```
data_SrEu2Ho
_cell_length_a 3.869
_cell_length_b 3.869
_cell_length_c 11.053
_cell_angle_alpha 90.00
_cell_angle_beta 90.00
_cell_angle_gamma 90.00
_space_group_name_H-M_alt 'P 4/m m m'
_space_group_IT_number 123
_space_group_name_Hall '-P 4 2'
loop_
_atom_site_label
_atom_site_type_symbol
_atom_site_fract_x
_atom_site_fract_y
_atom_site_fract_z
Sr1 Sr 0.000 0.000 0.000
Eu1 Eu 0.500 0.500 0.278
Ho1 Ho 0.000 0.000 0.500
```

(y)
This record from the Alexandria database describes a relaxed structure of SrEu2Ho. The functional is PBE.

- density of states at the Fermi level (states/eV/f.u.) = 4.1
- spin magnetization (μB/atom) = 3.82

Geometry as CIF:
```
data_SrEu2Ho
_cell_length_a 3.8552
_cell_length_b 3.8552
_cell_length_c 38.2801
_cell_angle_alpha 90.00
_cell_angle_beta 90.00
_cell_angle_gamma 120.00
_space_group_name_H-M_alt 'R -3 m'
_space_group_IT_number 166
_space_group_name_Hall '-R 3 2"'
loop_
_atom_site_label
_atom_site_type_symbol
_atom_site_fract_x
_atom_site_fract_y
_atom_site_fract_z
Sr1 Sr 0.0000 0.0000 0.0000
Eu1 Eu 0.0000 0.0000 0.2438
Ho1 Ho 0.0000 0.0000 0.5000
```

The structure with the greatest stability is (x).

(w)
This record from the Alexandria database describes a relaxed structure of TbEuHo2. The functional is PBE.

- density of states at the Fermi level (states/eV/f.u.) = 5.4
- spin magnetization (μB/atom) = 1.87

Geometry as CIF:
```
data_TbEuHo2
_cell_length_a 3.602
_cell_length_b 3.602
_cell_length_c 10.260
_cell_angle_alpha 90.00
_cell_angle_beta 90.00
_cell_angle_gamma 90.00
_space_group_name_H-M_alt 'P 4/m m m'
_space_group_IT_number 123
_space_group_name_Hall '-P 4 2'
loop_
_atom_site_label
_atom_site_type_symbol
_atom_site_fract_x
_atom_site_fract_y
_atom_site_fract_z
Tb1 Tb 0.000 0.000 0.000
Eu1 Eu 0.000 0.000 0.500
Ho1 Ho 0.500 0.500 0.235
```

(x)
This record from the Alexandria database describes a relaxed structure of TbEuHo2. The functional is PBE.

- density of states at the Fermi level (states/eV/f.u.) = 7.9
- spin magnetization (μB/atom) = 1.97

Geometry as CIF:
```
data_TbEuHo2
_cell_length_a 8.098
_cell_length_b 8.098
_cell_length_c 8.098
_cell_angle_alpha 90.00
_cell_angle_beta 90.00
_cell_angle_gamma 90.00
_space_group_name_H-M_alt 'F m -3 m'
_space_group_IT_number 225
_space_group_name_Hall '-F 4 2 3'
loop_
_atom_site_label
_atom_site_type_symbol
_atom_site_fract_x
_atom_site_fract_y
_atom_site_fract_z
Tb1 Tb 0.000 0.000 0.000
Eu1 Eu 0.000 0.000 0.500
Ho1 Ho 0.250 0.250 0.250
```

(y)
This record from the Alexandria database describes a relaxed structure of TbEuHo2. The functional is PBE.

- density of states at the Fermi level (states/eV/f.u.) = 6.0
- spin magnetization (μB/atom) = 1.79

Geometry as CIF:
```
data_TbEuHo2
_cell_length_a 5.083
_cell_length_b 5.083
_cell_length_c 5.078
_cell_angle_alpha 90.00
_cell_angle_beta 90.00
_cell_angle_gamma 90.00
_space_group_name_H-M_alt 'P 4/m m m'
_space_group_IT_number 123
_space_group_name_Hall '-P 4 2'
loop_
_atom_site_label
_atom_site_type_symbol
_atom_site_fract_x
_atom_site_fract_y
_atom_site_fract_z
Tb1 Tb 0.000 0.000 0.000
Eu1 Eu 0.500 0.500 0.000
Ho1 Ho 0.000 0.500 0.500
```

The structure with the greatest stability is (w).

(w)
This record from the Alexandria database describes a relaxed structure of EuHo2Tc. The functional is PBE.

- density of states at the Fermi level (states/eV/f.u.) = 5.0
- spin magnetization (μB/atom) = 1.98

Geometry as CIF:
```
data_EuHo2Tc
_cell_length_a 3.482
_cell_length_b 3.482
_cell_length_c 9.238
_cell_angle_alpha 90.00
_cell_angle_beta 90.00
_cell_angle_gamma 90.00
_space_group_name_H-M_alt 'P 4/m m m'
_space_group_IT_number 123
_space_group_name_Hall '-P 4 2'
loop_
_atom_site_label
_atom_site_type_symbol
_atom_site_fract_x
_atom_site_fract_y
_atom_site_fract_z
Eu1 Eu 0.000 0.000 0.000
Ho1 Ho 0.500 0.500 0.326
Tc1 Tc 0.000 0.000 0.500
```

(x)
This record from the Alexandria database describes a relaxed structure of EuHo2Tc. The functional is PBE.

- density of states at the Fermi level (states/eV/f.u.) = 4.7
- spin magnetization (μB/atom) = 1.88

Geometry as CIF:
```
data_EuHo2Tc
_cell_length_a 3.5015
_cell_length_b 3.5015
_cell_length_c 32.6509
_cell_angle_alpha 90.00
_cell_angle_beta 90.00
_cell_angle_gamma 120.00
_space_group_name_H-M_alt 'R -3 m'
_space_group_IT_number 166
_space_group_name_Hall '-R 3 2"'
loop_
_atom_site_label
_atom_site_type_symbol
_atom_site_fract_x
_atom_site_fract_y
_atom_site_fract_z
Eu1 Eu 0.0000 0.0000 0.0000
Ho1 Ho 0.0000 0.0000 0.1067
Tc1 Tc 0.0000 0.0000 0.5000
```

The structure with the greatest stability is (w).

(w)
This record from the Alexandria database describes a relaxed structure of EuHoTh2. The functional is PBE.

- density of states at the Fermi level (states/eV/f.u.) = 5.2
- spin magnetization (μB/atom) = 1.80

Geometry as CIF:
```
data_EuHoTh2
_cell_length_a 5.063
_cell_length_b 5.063
_cell_length_c 5.122
_cell_angle_alpha 90.00
_cell_angle_beta 90.00
_cell_angle_gamma 90.00
_space_group_name_H-M_alt 'P 4/m m m'
_space_group_IT_number 123
_space_group_name_Hall '-P 4 2'
loop_
_atom_site_label
_atom_site_type_symbol
_atom_site_fract_x
_atom_site_fract_y
_atom_site_fract_z
Eu1 Eu 0.000 0.000 0.000
Ho1 Ho 0.500 0.500 0.000
Th1 Th 0.000 0.500 0.500
```

(x)
This record from the Alexandria database describes a relaxed structure of EuHoTh2. The functional is PBE.

- density of states at the Fermi level (states/eV/f.u.) = 5.5
- spin magnetization (μB/atom) = 1.85

Geometry as CIF:
```
data_EuHoTh2
_cell_length_a 3.557
_cell_length_b 3.557
_cell_length_c 10.496
_cell_angle_alpha 90.00
_cell_angle_beta 90.00
_cell_angle_gamma 90.00
_space_group_name_H-M_alt 'P 4/m m m'
_space_group_IT_number 123
_space_group_name_Hall '-P 4 2'
loop_
_atom_site_label
_atom_site_type_symbol
_atom_site_fract_x
_atom_site_fract_y
_atom_site_fract_z
Eu1 Eu 0.000 0.000 0.000
Ho1 Ho 0.000 0.000 0.500
Th1 Th 0.500 0.500 0.262
```

The structure with the greatest stability is (x).

(w)
This record from the Alexandria database describes a relaxed structure of EuHo2Th. The functional is PBE.

- density of states at the Fermi level (states/eV/f.u.) = 7.0
- spin magnetization (μB/atom) = 1.74

Geometry as CIF:
```
data_EuHo2Th
_cell_length_a 8.107
_cell_length_b 8.107
_cell_length_c 8.107
_cell_angle_alpha 90.00
_cell_angle_beta 90.00
_cell_angle_gamma 90.00
_space_group_name_H-M_alt 'F m -3 m'
_space_group_IT_number 225
_space_group_name_Hall '-F 4 2 3'
loop_
_atom_site_label
_atom_site_type_symbol
_atom_site_fract_x
_atom_site_fract_y
_atom_site_fract_z
Eu1 Eu 0.000 0.000 0.000
Ho1 Ho 0.250 0.250 0.250
Th1 Th 0.000 0.000 0.500
```

(x)
This record from the Alexandria database describes a relaxed structure of EuHo2Th. The functional is PBE.

- density of states at the Fermi level (states/eV/f.u.) = 5.3
- spin magnetization (μB/atom) = 1.79

Geometry as CIF:
```
data_EuHo2Th
_cell_length_a 5.128
_cell_length_b 5.128
_cell_length_c 4.966
_cell_angle_alpha 90.00
_cell_angle_beta 90.00
_cell_angle_gamma 90.00
_space_group_name_H-M_alt 'P 4/m m m'
_space_group_IT_number 123
_space_group_name_Hall '-P 4 2'
loop_
_atom_site_label
_atom_site_type_symbol
_atom_site_fract_x
_atom_site_fract_y
_atom_site_fract_z
Eu1 Eu 0.000 0.000 0.000
Ho1 Ho 0.000 0.500 0.500
Th1 Th 0.500 0.500 0.000
```

The structure with the greatest stability is (x).